Record 1
Compound: BaNdAlTe4
Source: the Alexandria database
Functional: PBE-GGA
Structure: optimized geometry

Density = 5380 kg/m3
Formation energy without anion corrections = -8.20 eV per formula unit

abc: 7.4169 7.6446 9.3450
angles: 90.00 107.42 90.00
Closest atoms and distances in Å follow each position.
Space group P2_1/m (No. 11)
Inequivalent atoms, fractional coordinates:
Ba (0.2343, 0.2500, 0.0561)  6 Te 3.41-3.62
Nd (0.2336, 0.2500, 0.5577)  6 Te 3.18-3.29
Al (0.2304, 0.7500, 0.3215)  4 Te 2.59-2.63
Te (0.0119, 0.5101, 0.7265)  1 Al 2.63
Te (0.4219, 0.7500, 0.1295)  1 Al 2.60
Te (0.4400, 0.7500, 0.5981)  1 Al 2.59

---

Record 2
Compound: BaNd2Al3Zn6
Source: the Alexandria database
Functional: PBE-GGA
Structure: optimized geometry

Density = 5655 kg/m3
Energy relative to the elements = -0.234 eV per atom

abc: 4.3208 4.3208 14.1428
angles: 90.00 90.00 90.00
Closest atoms and distances in Å follow each position.
Space group P4/mmm (No. 123)
Inequivalent atoms, fractional coordinates:
Ba (0.0000, 0.0000, 0.0000)  8 Al 3.40, 8 Zn 3.64
Nd (0.0000, 0.0000, 0.3784)  8 Zn 3.19-3.24, 1 Nd 3.44, 4 Al 3.51
Al (0.5000, 0.5000, 0.1048)  4 Zn 2.60
Al (0.5000, 0.5000, 0.5000)  2 Zn 2.64
Zn (0.0000, 0.5000, 0.2072)  2 Al 2.60, 2 Zn 2.63
Zn (0.5000, 0.5000, 0.3133)  4 Zn 2.63, 1 Al 2.64